Density functional theory data (PBE) for a relaxed Eu2SnAs crystal.

Calculated values
total energy	-8.123	eV per atom
size of the total moment	13.6	Bohr magnetons per cell
E above lowest polymorph	0	meV/atom
calculated formation energy	-318	kJ/mol of formula units

Cell and atoms, written as POSCAR:
```
Eu2SnAs
1.0
3.593 0.000 0.000
0.000 3.593 0.000
0.000 0.000 8.568
Eu As Sn
2 1 1
Direct
0.000 0.000 0.782
0.000 0.000 0.218
0.500 0.500 0.000
0.500 0.500 0.500
```

Density functional theory data (PBE) for a relaxed PmPr2Tm8 crystal.

Calculated values
total energy	-4.375	eV per atom
size of the total moment	0.0	Bohr magnetons per cell
E above lowest polymorph	149	meV/atom
calculated formation energy	188	kJ/mol of formula units

Cell and atoms, written as POSCAR:
```
PmPr2Tm8
1.0
-2.644 3.716 -4.739
3.664 -3.181 -4.538
-5.395 -6.639 2.368
Pm Pr Tm
1 2 8
Direct
0.000 0.000 0.000
0.755 0.691 0.510
0.245 0.309 0.490
0.825 0.404 0.173
0.652 0.596 0.827
0.798 0.199 0.596
0.202 0.801 0.404
0.348 0.404 0.173
0.175 0.596 0.827
0.588 0.905 0.176
0.412 0.095 0.824
```

Density functional theory data (PBE) for a relaxed CsUAg2Te4 crystal.

Calculated values
total energy	-4.104	eV per atom
size of the total moment	1.0	Bohr magnetons per cell

Cell and atoms, written as POSCAR:
```
CsUAg2Te4
1.0
6.933 0.000 0.000
3.466 6.808 0.048
3.466 0.606 6.781
Cs U Ag Te
1 1 2 4
Direct
0.000 0.000 0.000
0.500 0.500 0.500
0.142 0.358 0.358
0.858 0.642 0.642
0.469 0.129 0.516
0.115 0.871 0.484
0.885 0.516 0.129
0.531 0.484 0.871
```

Density functional theory data (PBE) for a relaxed Be3CdBr crystal.

Calculated values
total energy	-1.735	eV per atom
size of the total moment	0.0	Bohr magnetons per cell
E above lowest polymorph	0	meV/atom

Cell and atoms, written as POSCAR:
```
Be3CdBr
1.0
4.653 0.000 0.000
0.000 4.653 0.000
0.000 0.000 4.653
Be Br Cd
3 1 1
Direct
0.000 0.500 0.000
0.000 0.000 0.500
0.500 0.000 0.000
0.500 0.500 0.500
0.000 0.000 0.000
```

Density functional theory data (PBE) for a relaxed SrLiY2 crystal.

Calculated values
total energy	-3.943	eV per atom
size of the total moment	1.0	Bohr magnetons per cell
E above lowest polymorph	80	meV/atom
calculated formation energy	72	kJ/mol of formula units

Cell and atoms, written as POSCAR:
```
SrLiY2
1.0
3.779 0.000 0.000
0.000 3.779 0.000
0.000 0.000 9.359
Li Sr Y
1 1 2
Direct
0.500 0.500 0.250
0.500 0.500 0.750
0.000 0.000 0.064
0.000 0.000 0.436
```

Density functional theory data (PBE) for a relaxed Ce2ZnBr crystal.

Calculated values
total energy	-4.237	eV per atom
size of the total moment	2.4	Bohr magnetons per cell
E above lowest polymorph	24	meV/atom

Cell and atoms, written as POSCAR:
```
Ce2ZnBr
1.0
-4.225 -0.864 0.422
-1.611 -1.093 3.871
-3.144 5.865 2.772
Zn Br Ce
1 1 2
Direct
0.000 0.000 0.000
0.500 0.500 0.500
0.250 0.250 0.249
0.750 0.750 0.751
```

Density functional theory data (PBE) for a relaxed Ag6SnAu12 crystal.

Calculated values
total energy	-3.157	eV per atom
size of the total moment	0.0	Bohr magnetons per cell
calculated formation energy	45	kJ/mol of formula units

Cell and atoms, written as POSCAR:
```
Ag6SnAu12
1.0
7.075 0.434 0.520
-0.643 7.059 0.520
-0.643 -0.750 7.038
Ag Sn Au
6 1 12
Direct
0.727 0.886 0.274
0.726 0.273 0.114
0.114 0.726 0.273
0.273 0.114 0.726
0.274 0.727 0.886
0.886 0.274 0.727
0.000 0.000 0.000
0.799 0.527 0.439
0.439 0.799 0.527
0.527 0.439 0.799
0.201 0.473 0.561
0.561 0.201 0.473
0.473 0.561 0.201
0.041 0.153 0.375
0.847 0.625 0.959
0.625 0.959 0.847
0.959 0.847 0.625
0.153 0.375 0.041
0.375 0.041 0.153
```

Density functional theory data (PBE) for a relaxed LiMnNi5 crystal.

Calculated values
total energy	-5.511	eV per atom
size of the total moment	5.7	Bohr magnetons per cell
calculated formation energy	136	kJ/mol of formula units

Cell and atoms, written as POSCAR:
```
LiMnNi5
1.0
3.749 0.000 0.000
0.000 3.749 0.000
0.000 0.000 5.809
Li Mn Ni
1 1 5
Direct
0.500 0.500 0.000
0.000 0.000 0.500
0.000 0.500 0.776
0.000 0.500 0.224
0.500 0.000 0.776
0.500 0.000 0.224
0.500 0.500 0.500
```

Density functional theory data (PBE) for a relaxed ZnNiIr crystal.

Calculated values
total energy	-4.927	eV per atom
size of the total moment	1.3	Bohr magnetons per cell
E above lowest polymorph	524	meV/atom
calculated formation energy	110	kJ/mol of formula units

Cell and atoms, written as POSCAR:
```
ZnNiIr
1.0
-1.078 -0.658 3.892
0.645 -3.661 1.711
2.879 -0.436 2.875
Ir Ni Zn
1 1 1
Direct
0.750 0.750 0.750
0.000 0.000 0.000
0.500 0.500 0.500
```

Density functional theory data (PBE) for a relaxed GaAs2Pb crystal.

Calculated values
total energy	-3.851	eV per atom
size of the total moment	0.0	Bohr magnetons per cell
E above lowest polymorph	203	meV/atom
calculated formation energy	61	kJ/mol of formula units

Cell and atoms, written as POSCAR:
```
GaAs2Pb
1.0
3.439 0.000 0.000
1.719 2.978 0.000
1.719 0.993 9.566
Pb As Ga
1 2 1
Direct
0.000 0.000 0.000
0.107 0.107 0.678
0.893 0.893 0.322
0.500 0.500 0.500
```

Density functional theory data (PBE) for a relaxed Dy4Zn3Ag crystal.

Calculated values
total energy	-3.475	eV per atom
size of the total moment	0.0	Bohr magnetons per cell
E above lowest polymorph	0	meV/atom
calculated formation energy	-262	kJ/mol of formula units

Cell and atoms, written as POSCAR:
```
Dy4Zn3Ag
1.0
3.586 0.000 0.000
0.000 3.586 0.000
0.000 0.000 14.289
Zn Ag Dy
3 1 4
Direct
0.500 0.500 0.254
0.500 0.500 0.500
0.500 0.500 0.746
0.500 0.500 0.000
0.000 0.000 0.869
0.000 0.000 0.131
0.000 0.000 0.377
0.000 0.000 0.623
```

Density functional theory data (PBE) for a relaxed Tb3AsBr3 crystal.

Calculated values
total energy	-4.885	eV per atom
size of the total moment	0.0	Bohr magnetons per cell

Cell and atoms, written as POSCAR:
```
Tb3AsBr3
1.0
-3.698 3.370 -8.759
9.935 1.713 0.337
-1.733 -9.906 0.793
Tb As Br
12 4 12
Direct
0.974 0.487 0.237
0.513 0.026 0.263
0.250 0.013 0.487
0.987 0.750 0.013
0.987 0.237 0.474
0.763 0.013 0.026
0.737 0.474 0.487
0.763 0.750 0.237
0.526 0.263 0.013
0.250 0.237 0.263
0.737 0.263 0.750
0.513 0.487 0.750
0.750 0.500 0.000
0.500 0.250 0.500
0.750 0.250 0.250
0.000 0.000 0.250
0.245 0.995 0.991
0.750 0.755 0.745
0.491 0.745 0.995
0.005 0.250 0.995
0.255 0.745 0.250
0.495 0.505 0.250
0.245 0.250 0.755
0.255 0.509 0.505
0.750 0.995 0.505
0.009 0.505 0.755
0.005 0.755 0.509
0.495 0.991 0.745
```

Density functional theory data (PBE) for a relaxed Co5Mo crystal.

Calculated values
total energy	-7.610	eV per atom
size of the total moment	4.9	Bohr magnetons per cell
E above lowest polymorph	84	meV/atom
calculated formation energy	67	kJ/mol of formula units

Cell and atoms, written as POSCAR:
```
Co5Mo
1.0
2.772 -3.126 1.969
-1.476 -2.427 3.642
-0.917 -4.505 -0.445
Co Mo
5 1
Direct
0.874 0.375 0.375
0.750 0.750 0.750
0.375 0.874 0.375
0.375 0.375 0.375
0.375 0.375 0.874
0.000 0.000 0.000
```

Density functional theory data (PBE) for a relaxed Dy3NiPb crystal.

Calculated values
total energy	-5.019	eV per atom
size of the total moment	0.0	Bohr magnetons per cell
E above lowest polymorph	0	meV/atom
calculated formation energy	-174	kJ/mol of formula units

Cell and atoms, written as POSCAR:
```
Dy3NiPb
1.0
-1.572 -2.946 -3.347
1.564 -5.263 3.897
-7.680 0.235 3.400
Dy Ni Pb
6 2 2
Direct
0.750 0.750 0.084
0.250 0.250 0.916
0.750 0.001 0.652
0.750 0.499 0.652
0.250 0.999 0.348
0.250 0.501 0.348
0.750 0.750 0.401
0.250 0.250 0.599
0.750 0.250 0.159
0.250 0.750 0.841
```

Density functional theory data (PBE) for a relaxed La2CuSn2 crystal.

Calculated values
total energy	-4.702	eV per atom
size of the total moment	0.0	Bohr magnetons per cell
E above lowest polymorph	346	meV/atom
calculated formation energy	-150	kJ/mol of formula units

Cell and atoms, written as POSCAR:
```
La2CuSn2
1.0
-5.819 2.576 -5.276
-5.091 -5.913 2.728
-1.640 2.899 3.224
Sn Cu La
4 2 4
Direct
0.123 0.623 0.500
0.623 0.877 0.500
0.877 0.377 0.500
0.377 0.123 0.500
0.000 0.000 0.000
0.500 0.500 0.000
0.323 0.823 0.000
0.823 0.677 0.000
0.677 0.177 0.000
0.177 0.323 0.000
```

Density functional theory data (PBE) for a relaxed Ba2InGe3Pd4 crystal.

Calculated values
total energy	-4.752	eV per atom
size of the total moment	0.0	Bohr magnetons per cell
calculated formation energy	-609	kJ/mol of formula units

Cell and atoms, written as POSCAR:
```
Ba2InGe3Pd4
1.0
4.581 0.000 0.000
0.000 4.581 0.000
0.000 0.000 10.650
Ba In Ge Pd
2 1 3 4
Direct
0.500 0.000 0.245
0.000 0.500 0.755
0.500 0.500 0.500
0.000 0.000 0.500
0.500 0.000 0.887
0.000 0.500 0.113
0.500 0.500 0.000
0.000 0.000 0.000
0.500 0.000 0.641
0.000 0.500 0.359
```

Density functional theory data (PBE) for a relaxed CaGa4Cu4 crystal.

Calculated values
total energy	-3.531	eV per atom
size of the total moment	0.0	Bohr magnetons per cell
calculated formation energy	-124	kJ/mol of formula units

Cell and atoms, written as POSCAR:
```
CaGa4Cu4
1.0
4.574 0.000 0.000
0.000 8.381 0.000
0.000 0.000 8.381
Ca Ga Cu
2 8 8
Direct
0.000 0.000 0.000
0.500 0.500 0.500
0.500 0.391 0.887
0.000 0.613 0.891
0.500 0.609 0.113
0.000 0.109 0.613
0.500 0.887 0.609
0.000 0.891 0.387
0.000 0.387 0.109
0.500 0.113 0.391
0.500 0.825 0.297
0.500 0.175 0.703
0.000 0.797 0.675
0.000 0.325 0.797
0.000 0.675 0.203
0.500 0.297 0.175
0.500 0.703 0.825
0.000 0.203 0.325
```

Density functional theory data (PBE) for a relaxed TiFeCu3 crystal.

Calculated values
total energy	-4.688	eV per atom
size of the total moment	0.0	Bohr magnetons per cell
E above lowest polymorph	0	meV/atom
calculated formation energy	502	kJ/mol of formula units

Cell and atoms, written as POSCAR:
```
TiFeCu3
1.0
-3.106 2.487 1.667
-2.822 -3.235 -0.432
1.001 -1.401 3.956
Fe Cu Ti
1 3 1
Direct
0.000 0.000 0.000
0.000 0.500 0.000
0.000 0.000 0.500
0.500 0.000 0.000
0.500 0.500 0.500
```

Density functional theory data (PBE) for a relaxed LaMg2CdHg4 crystal.

Calculated values
total energy	-1.567	eV per atom
size of the total moment	0.0	Bohr magnetons per cell
calculated formation energy	-222	kJ/mol of formula units

Cell and atoms, written as POSCAR:
```
LaMg2CdHg4
1.0
-3.603 -3.355 -0.408
1.015 -4.799 0.589
-2.582 -1.971 9.110
La Mg Cd Hg
1 2 1 4
Direct
0.000 0.000 0.000
0.758 0.758 0.727
0.242 0.242 0.273
0.500 0.500 0.500
0.387 0.387 0.839
0.877 0.877 0.370
0.123 0.123 0.630
0.613 0.613 0.161
```

Density functional theory data (PBE) for a relaxed USbRuN crystal.

Calculated values
total energy	-8.944	eV per atom
size of the total moment	3.8	Bohr magnetons per cell

Cell and atoms, written as POSCAR:
```
USbRuN
1.0
-0.988 -3.936 0.738
3.642 -0.568 1.850
-3.379 2.223 7.335
U Sb Ru N
2 2 2 2
Direct
0.000 0.500 0.876
0.500 0.000 0.124
0.500 0.000 0.685
0.000 0.500 0.315
0.000 0.000 0.500
0.500 0.500 0.500
0.500 0.500 0.000
0.000 0.000 0.000
```

Density functional theory data (PBE) for a relaxed IrPbW2 crystal.

Calculated values
total energy	-9.063	eV per atom
size of the total moment	0.0	Bohr magnetons per cell
calculated formation energy	214	kJ/mol of formula units

Cell and atoms, written as POSCAR:
```
IrPbW2
1.0
-2.766 -3.716 -1.973
0.107 -4.137 -2.868
0.560 -3.582 3.481
Ir Pb W
1 1 2
Direct
0.750 0.750 0.750
0.250 0.250 0.250
0.010 0.010 0.954
0.490 0.490 0.546
```

Density functional theory data (PBE) for a relaxed CsMn2PdCl8 crystal.

Calculated values
total energy	-4.270	eV per atom
size of the total moment	8.9	Bohr magnetons per cell

Cell and atoms, written as POSCAR:
```
CsMn2PdCl8
1.0
6.485 0.000 0.000
-3.242 5.616 0.000
0.000 0.000 9.746
Cs Mn Pd Cl
1 2 1 8
Direct
0.000 0.000 0.000
0.667 0.333 0.289
0.333 0.667 0.711
0.000 0.000 0.500
0.333 0.667 0.943
0.308 0.307 0.349
0.693 0.001 0.349
0.667 0.333 0.057
0.307 0.999 0.651
0.692 0.693 0.651
0.001 0.308 0.651
0.999 0.692 0.349
```

Density functional theory data (PBE) for a relaxed CsRbS2 crystal.

Calculated values
total energy	-2.874	eV per atom
size of the total moment	0.8	Bohr magnetons per cell
E above lowest polymorph	524	meV/atom

Cell and atoms, written as POSCAR:
```
CsRbS2
1.0
-3.206 -4.115 -7.701
6.763 -6.359 0.582
-0.136 -7.109 -1.761
Cs S Rb
2 4 2
Direct
0.000 0.000 0.000
0.750 0.250 0.500
0.613 0.125 0.250
0.137 0.625 0.250
0.375 0.387 0.750
0.875 0.863 0.750
0.500 0.500 0.000
0.250 0.750 0.500
```